Entry from the Alexandria database: a relaxed UP2Pd3 crystal (PBE).

Values from the calculation:
The volume comes out at 16.6 Å³/atom. As for the calculated total energy: -6.90 eV per atom. As for the calculated formation energy: -0.6216 eV/atom.

a = 16.1993 Å, b = 3.8712 Å, c = 9.9651 Å
α = 90.00°, β = 106.74°, γ = 90.00°
Closest atoms and distances in Å follow each position.
Space group C2/m (No. 12)
One atom of each set of equivalent atoms:
U 0.0000 0.0000 0.0000 (multiplicity 2)  6 P 2.93-3.17, 6 Pd 3.13-3.20
U 0.1544 0.0000 0.7038 (multiplicity 4)  8 Pd 3.01-3.35, 6 P 3.02-3.08
P 0.0419 0.5000 0.8089 (multiplicity 4)  3 Pd 2.39-2.48
P 0.1352 0.5000 0.4640 (multiplicity 4)  5 Pd 2.32-2.56
P 0.2024 0.0000 0.1403 (multiplicity 4)  6 Pd 2.48-2.51
Pd 0.0000 0.5000 0.5000 (multiplicity 2)  2 P 2.32
Pd 0.0361 0.0000 0.3261 (multiplicity 4)  4 P 2.48-2.63, 2 Pd 2.77
Pd 0.1301 0.5000 0.2161 (multiplicity 4)  4 P 2.45-2.73
Pd 0.1811 0.5000 0.9759 (multiplicity 4)  4 P 2.39-2.49
Pd 0.2200 0.0000 0.3992 (multiplicity 4)  4 P 2.35-2.56

***

Entry from the Alexandria database: a relaxed TmCrInCl6 crystal (PBE).

Values from the calculation:
The volume comes out at 30.8 Å³/atom. As for the calculated total energy: -4.62 eV per atom. The formation energy (no corrections) is -1.51 eV per atom.

a = 6.9178 Å, b = 11.2562 Å, c = 7.1346 Å
α = 90.00°, β = 92.97°, γ = 90.00°
Closest atoms and distances in Å follow each position.
Space group C2 (No. 5)
One atom of each set of equivalent atoms:
Tm 0.0000 0.0000 0.0000 (multiplicity 2)  6 Cl 2.56-2.66
Cr 0.0000 0.3400 0.0000 (multiplicity 2)  4 Cl 2.40-2.41
In 0.0000 0.6791 0.5000 (multiplicity 2)  6 Cl 3.07-3.40
Cl 0.1258 0.1854 0.2030 (multiplicity 4)  1 Cr 2.40, 1 Tm 2.66
Cl 0.1756 0.8603 0.2352 (multiplicity 4)  1 Tm 2.56
Cl 0.1778 0.4875 0.1835 (multiplicity 4)  1 Cr 2.41, 1 Tm 2.65

***

Entry from the Alexandria database: a relaxed Nd8NiRh5 crystal (PBE).

Values from the calculation:
The volume comes out at 24.9 Å³/atom. As for the calculated total energy: -6.33 eV per atom. As for the calculated formation energy: -0.5666 eV/atom.

a = 8.8626 Å, b = 8.8626 Å, c = 8.8924 Å
α = 90.00°, β = 90.00°, γ = 90.00°
Closest atoms and distances in Å follow each position.
Space group I-4 (No. 82)
One atom of each set of equivalent atoms:
Nd 0.0594 0.3087 0.0675 (multiplicity 8)  3 Rh 2.85-2.86
Nd 0.0600 0.1915 0.6846 (multiplicity 8)  2 Rh 2.84-2.86, 1 Ni 2.84
Ni 0.0000 0.5000 0.7500 (multiplicity 2)  4 Nd 2.84
Rh 0.0000 0.0000 0.0000 (multiplicity 2)  4 Nd 2.85
Rh 0.1271 0.2486 0.3755 (multiplicity 8)  4 Nd 2.84-2.86

***

Entry from the Alexandria database: a relaxed SrGa8Pt2 crystal (PBE).

Values from the calculation:
The volume comes out at 26.0 Å³/atom. As for the calculated total energy: -3.64 eV per atom. As for the calculated formation energy: -0.1846 eV/atom.

a = 5.8180 Å, b = 5.8180 Å, c = 8.4547 Å
α = 90.00°, β = 90.00°, γ = 90.00°
Closest atoms and distances in Å follow each position.
Space group P4/mmm (No. 123)
One atom of each set of equivalent atoms:
Sr 0.0000 0.0000 0.0000 (multiplicity 1)  8 Ga 3.36
Ga 0.2538 0.2538 0.3114 (multiplicity 8)  2 Pt 2.60, 2 Ga 2.86
Pt 0.0000 0.5000 0.5000 (multiplicity 2)  8 Ga 2.60

***

Entry from the Alexandria database: a relaxed V2BiRh2 crystal (PBE).

Values from the calculation:
The volume comes out at 16.6 Å³/atom. The calculation puts the energy above the lowest structure with this stoichiometry at 0.0000 eV per atom. As for the calculated total energy: -7.39 eV per atom. As for the calculated formation energy: -0.0217 eV/atom.

a = 7.5897 Å, b = 7.5897 Å, c = 2.8782 Å
α = 90.00°, β = 90.00°, γ = 90.00°
Closest atoms and distances in Å follow each position.
Space group P4/mbm (No. 127)
One atom of each set of equivalent atoms:
V 0.1539 0.3461 0.0000 (multiplicity 4)  6 Rh 2.61-2.70, 2 V 2.88
Bi 0.0000 0.0000 0.5000 (multiplicity 2)  2 Bi 2.88, 4 Rh 2.96, 8 V 3.21
Rh 0.1328 0.6328 0.5000 (multiplicity 4)  6 V 2.61-2.70, 3 Rh 2.85-2.88

***

Entry from the Alexandria database: a relaxed Ta2BeTePb crystal (PBE).

Values from the calculation:
The volume comes out at 29.8 Å³/atom. The calculation puts the energy above the lowest structure with this stoichiometry at 0.5171 eV per atom. As for the calculated total energy: -4.82 eV per atom. The formation energy (no corrections) is 2.03 eV per atom.

a = 5.0573 Å, b = 5.0573 Å, c = 5.8290 Å
α = 90.00°, β = 90.00°, γ = 90.00°
Closest atoms and distances in Å follow each position.
Space group P4/mmm (No. 123)
One atom of each set of equivalent atoms:
Ta 0.0000 0.5000 0.0000 (multiplicity 2)  2 Te 2.53
Be 0.0000 0.0000 0.5000 (multiplicity 1)  4 Pb 3.58, 8 Ta 3.86
Te 0.5000 0.5000 0.0000 (multiplicity 1)  4 Ta 2.53
Pb 0.5000 0.5000 0.5000 (multiplicity 1)  2 Te 2.91

***

Entry from the Alexandria database: a relaxed GdHoSn2 crystal (PBE).

Values from the calculation:
The volume comes out at 29.0 Å³/atom. The calculation puts the energy above the lowest structure with this stoichiometry at 0.1292 eV per atom. As for the calculated total energy: -7.19 eV per atom. As for the calculated formation energy: -0.5264 eV/atom.

a = 3.8662 Å, b = 3.8662 Å, c = 26.8836 Å
α = 90.00°, β = 90.00°, γ = 120.00°
Closest atoms and distances in Å follow each position.
Space group R-3m (No. 166, hexagonal axes)
One atom of each set of equivalent atoms:
Gd 0.0000 0.0000 0.0000 (multiplicity 3)  6 Sn 3.18
Ho 0.0000 0.0000 0.5000 (multiplicity 3)  6 Sn 3.14
Sn 0.0000 0.0000 0.2489 (multiplicity 6)  3 Ho 3.14, 3 Gd 3.18

***

Entry from the Alexandria database: a relaxed Rb5GaO4 crystal (PBE).

Values from the calculation:
The volume comes out at 23.5 Å³/atom. The calculation puts the energy above the lowest structure with this stoichiometry at 0.0619 eV per atom. As for the calculated total energy: -4.08 eV per atom. The formation energy (no corrections) is -1.31 eV per atom.

a = 8.0084 Å, b = 8.7773 Å, c = 6.6816 Å
α = 90.00°, β = 90.00°, γ = 90.00°
Closest atoms and distances in Å follow each position.
Space group Pmmn (No. 59, origin choice 2)
One atom of each set of equivalent atoms:
Rb 0.0109 0.0585 0.2365 (multiplicity 8)  4 O 2.77-3.03
Rb 0.2500 0.7500 0.3604 (multiplicity 2)  4 O 2.81-3.03
Ga 0.2500 0.2500 0.7041 (multiplicity 2)  4 O 1.94
O 0.0473 0.2500 0.8620 (multiplicity 4)  1 Ga 1.94
O 0.2500 0.0647 0.5456 (multiplicity 4)  1 Ga 1.94